La2ZnCdSb2O2 | PBE | relaxed

Geometry as POSCAR:
```
La2ZnCdSb2O2
1.0
4.284 0.000 0.000
0.000 4.284 0.000
0.000 0.000 9.631
La Zn Cd Sb O
2 1 1 2 2
Direct
0.000 0.500 0.117
0.500 0.000 0.883
0.000 0.000 0.500
0.500 0.500 0.500
0.000 0.500 0.693
0.500 0.000 0.307
0.000 0.000 0.000
0.500 0.500 0.000
```

Total DFT energy (no corrections) = -5.507 eV per atom
Crystal system = tetragonal

***

La2CdSe2O2 | PBE | relaxed

Geometry as POSCAR:
```
La2CdSe2O2
1.0
4.071 0.000 0.000
0.000 4.071 0.000
0.000 0.000 18.699
La Cd Se O
4 2 4 4
Direct
0.250 0.250 0.066
0.250 0.250 0.566
0.750 0.750 0.434
0.750 0.750 0.934
0.250 0.750 0.250
0.750 0.250 0.750
0.250 0.250 0.343
0.250 0.250 0.843
0.750 0.750 0.157
0.750 0.750 0.657
0.250 0.750 0.001
0.250 0.750 0.499
0.750 0.250 0.501
0.750 0.250 0.999
```

Total DFT energy (no corrections) = -6.357 eV per atom
Crystal system = tetragonal

***

Number 1: size of the total moment 0.00 μB/f.u.. Number 2: size of the total moment 0.00 μB/f.u..